# 1
First-principles (PBE-GGA) data for an optimized crystal structure of AlPd2Au8, as listed in the Alexandria database.

Computed properties:
Energy of formation in eV/atom: -0.13
Spin magnetization in μB/f.u.: 0.0
Energy in Ha/atom: -0.140

a = 4.1773 Å, b = 6.5006 Å, c = 7.5593 Å
α = 105.77°, β = 106.04°, γ = 90.00°
Atoms (fractional coordinates):
Al: 0.5000 0.0000 0.0000
Pd: 0.2247 0.6350 0.4493
Pd: 0.7753 0.3650 0.5507
Au: 0.5925 0.4423 0.1850
Au: 0.3219 0.0899 0.6437
Au: 0.1379 0.1823 0.2758
Au: 0.0447 0.7312 0.0894
Au: 0.8621 0.8177 0.7242
Au: 0.6782 0.9101 0.3563
Au: 0.4075 0.5577 0.8150
Au: 0.9553 0.2688 0.9106


# 2
First-principles (PBE-GGA) data for an optimized crystal structure of ZrIr3, as listed in the Alexandria database.

Computed properties:
Energy of formation in eV/atom: -0.41
Spin magnetization in μB/f.u.: 0.0
Energy in Ha/atom: -0.338

a = 2.8785 Å, b = 3.8881 Å, c = 5.7512 Å
α = 90.00°, β = 90.00°, γ = 90.00°
Atoms (fractional coordinates):
Ir: 0.0000 0.0000 0.9810
Ir: 0.0000 0.0000 0.5190
Ir: 0.5000 0.5000 0.7500
Zr: 0.5000 0.5000 0.2500